[1]
DFT (PBE-GGA) results for a geometry-optimized ScIn2FeP structure.

Summary:
The size of the total moment comes out at 1.12 μB per formula unit. The crystal system is tetragonal. The energy of formation comes out at 0.29 eV per atom. The value obtained for the total energy is -4.846 eV per atom.

a = 5.2029 Å, b = 5.2029 Å, c = 4.1407 Å
α = 90.00°, β = 90.00°, γ = 90.00°
Closest atoms and distances in Å follow each position.
Space group P4/mmm (No. 123)
Unique sites:
Sc  0.0000  0.0000  0.0000 [1 per cell]  8 In 3.32, 4 Fe 3.68
In  0.0000  0.5000  0.5000 [2 per cell]  2 P 2.60
Fe  0.5000  0.5000  0.0000 [1 per cell]  2 P 2.07
P  0.5000  0.5000  0.5000 [1 per cell]  2 Fe 2.07



[2]
DFT (PBE-GGA) results for a geometry-optimized In2FePSe structure.

Summary:
The size of the total moment comes out at 0.78 μB per formula unit. As for the uncorrected formation energy: 0.429 eV per atom. The crystal system is tetragonal. The value obtained for the total energy is -4.138 eV per atom.

a = 5.1525 Å, b = 5.1525 Å, c = 4.2243 Å
α = 90.00°, β = 90.00°, γ = 90.00°
Closest atoms and distances in Å follow each position.
Space group P4/mmm (No. 123)
Unique sites:
In  0.0000  0.5000  0.0000 [2 per cell]  2 Fe 2.58
Fe  0.0000  0.0000  0.0000 [1 per cell]  2 Se 2.11
P  0.5000  0.5000  0.5000 [1 per cell]  8 In 3.33, 4 Se 3.64
Se  0.0000  0.0000  0.5000 [1 per cell]  2 Fe 2.11



[3]
DFT (PBE-GGA) results for a geometry-optimized SrInFeP structure.

Summary:
The size of the total moment comes out at 0.00 μB per formula unit. The crystal system is tetragonal. The energy of formation comes out at -0.55 eV per atom. The value obtained for the total energy is -5.123 eV per atom.

a = 3.9767 Å, b = 3.9767 Å, c = 11.3643 Å
α = 90.00°, β = 90.00°, γ = 90.00°
Closest atoms and distances in Å follow each position.
Space group P4/nmm (No. 129, origin choice 2)
Unique sites:
Sr  0.2500  0.2500  0.2260 [2 per cell]  4 P 3.19, 4 Fe 3.25
In  0.2500  0.7500  0.5000 [2 per cell]  4 In 2.81
Fe  0.2500  0.7500  0.0000 [2 per cell]  4 P 2.26
P  0.2500  0.2500  0.9058 [2 per cell]  4 Fe 2.26



[4]
DFT (PBE-GGA) results for a geometry-optimized YInFe2P structure.

Summary:
The size of the total moment comes out at 0.00 μB per formula unit. The crystal system is tetragonal. The energy of formation comes out at 0.24 eV per atom. The value obtained for the total energy is -6.072 eV per atom.

a = 4.2703 Å, b = 4.2703 Å, c = 5.0572 Å
α = 90.00°, β = 90.00°, γ = 90.00°
Closest atoms and distances in Å follow each position.
Space group P4/mmm (No. 123)
Unique sites:
Y  0.0000  0.0000  0.0000 [1 per cell]  4 In 3.02, 8 Fe 3.31
In  0.5000  0.5000  0.0000 [1 per cell]  2 P 2.53
Fe  0.0000  0.5000  0.5000 [2 per cell]  2 P 2.14
P  0.5000  0.5000  0.5000 [1 per cell]  4 Fe 2.14



[5]
DFT (PBE-GGA) results for a geometry-optimized Pa2InFe structure.

Summary:
The size of the total moment comes out at 0.46 μB per formula unit. The crystal system is tetragonal. The energy of formation comes out at -0.14 eV per atom. The value obtained for the total energy is -7.688 eV per atom.

a = 3.1151 Å, b = 3.1151 Å, c = 8.7444 Å
α = 90.00°, β = 90.00°, γ = 90.00°
Closest atoms and distances in Å follow each position.
Space group P4/mmm (No. 123)
Unique sites:
Pa  0.0000  0.0000  0.2038 [2 per cell]  4 Fe 2.83, 4 Pa 3.12
In  0.5000  0.5000  0.5000 [1 per cell]  4 In 3.12, 8 Pa 3.40
Fe  0.5000  0.5000  0.0000 [1 per cell]  8 Pa 2.83, 4 Fe 3.12



[6]
DFT (PBE-GGA) results for a geometry-optimized Pa3InFe structure.

Summary:
The size of the total moment comes out at 0.00 μB per formula unit. The crystal system is cubic. The energy of formation comes out at 0.06 eV per atom. The value obtained for the total energy is -7.881 eV per atom.

a = 5.0305 Å, b = 5.0305 Å, c = 5.0305 Å
α = 90.00°, β = 90.00°, γ = 90.00°
Closest atoms and distances in Å follow each position.
Space group Pm-3m (No. 221)
Unique sites:
Pa  0.0000  0.0000  0.5000 [3 per cell]  2 Fe 2.52
In  0.5000  0.5000  0.5000 [1 per cell]  12 Pa 3.56
Fe  0.0000  0.0000  0.0000 [1 per cell]  6 Pa 2.52



[7]
DFT (PBE-GGA) results for a geometry-optimized PaInFe4 structure.

Summary:
The size of the total moment comes out at 7.14 μB per formula unit. The crystal system is cubic. The energy of formation comes out at -0.03 eV per atom. The value obtained for the total energy is -7.715 eV per atom.

a = 7.1564 Å, b = 7.1564 Å, c = 7.1564 Å
α = 90.00°, β = 90.00°, γ = 90.00°
Closest atoms and distances in Å follow each position.
Space group F-43m (No. 216)
Unique sites:
Pa  0.0000  0.0000  0.0000 [4 per cell]  12 Fe 2.97, 4 In 3.10
In  0.2500  0.2500  0.7500 [4 per cell]  12 Fe 2.97, 4 Pa 3.10
Fe  0.1253  0.1253  0.3747 [16 per cell]  6 Fe 2.52-2.54



[8]
DFT (PBE-GGA) results for a geometry-optimized Pa2InFe structure.

Summary:
The size of the total moment comes out at 0.00 μB per formula unit. The crystal system is trigonal. The energy of formation comes out at -0.02 eV per atom. The value obtained for the total energy is -7.571 eV per atom.

a = 3.6811 Å, b = 3.6811 Å, c = 24.6751 Å
α = 90.00°, β = 90.00°, γ = 120.00°
Closest atoms and distances in Å follow each position.
Space group R-3m (No. 166, hexagonal axes)
Unique sites:
Pa  0.0000  0.0000  0.2283 [6 per cell]  3 Fe 2.61
In  0.0000  0.0000  0.0000 [3 per cell]  6 Pa 3.35, 6 In 3.68
Fe  0.0000  0.0000  0.5000 [3 per cell]  6 Pa 2.61



[9]
DFT (PBE-GGA) results for a geometry-optimized Pa2In2Fe3 structure.

Summary:
The size of the total moment comes out at 0.00 μB per formula unit. The crystal system is monoclinic. The energy of formation comes out at -0.25 eV per atom. The value obtained for the total energy is -7.369 eV per atom.

a = 12.1585 Å, b = 4.5882 Å, c = 4.8607 Å
α = 90.00°, β = 99.38°, γ = 90.00°
Closest atoms and distances in Å follow each position.
Space group C2/m (No. 12)
Unique sites:
Pa  0.1505  0.0000  0.3658 [4 per cell]  2 Fe 2.16-2.33
In  0.0879  0.5000  0.8280 [4 per cell]  5 Fe 2.69-2.86, 1 In 2.92
Fe  0.0000  0.0000  0.0000 [2 per cell]  2 Pa 2.33
Fe  0.2016  0.0000  0.8117 [4 per cell]  1 Pa 2.16



[10]
DFT (PBE-GGA) results for a geometry-optimized Pa2InFe structure.

Summary:
The size of the total moment comes out at 0.00 μB per formula unit. The crystal system is trigonal. The energy of formation comes out at 0.00 eV per atom. The value obtained for the total energy is -7.544 eV per atom.

a = 3.6145 Å, b = 3.6145 Å, c = 25.4449 Å
α = 90.00°, β = 90.00°, γ = 120.00°
Closest atoms and distances in Å follow each position.
Space group R3m (No. 160, hexagonal axes)
Unique sites:
Pa  0.0000  0.0000  0.0000 [3 per cell]  3 Fe 2.55
Pa  0.0000  0.0000  0.2111 [3 per cell]  3 Fe 2.66
In  0.0000  0.0000  0.4395 [3 per cell]  6 Pa 3.39-3.41, 6 In 3.61
Fe  0.0000  0.0000  0.6093 [3 per cell]  6 Pa 2.55-2.66



[11]
DFT (PBE-GGA) results for a geometry-optimized PaInFePt structure.

Summary:
The size of the total moment comes out at 1.52 μB per formula unit. The crystal system is cubic. The energy of formation comes out at -0.32 eV per atom. The value obtained for the total energy is -6.999 eV per atom.

a = 6.7513 Å, b = 6.7513 Å, c = 6.7513 Å
α = 90.00°, β = 90.00°, γ = 90.00°
Closest atoms and distances in Å follow each position.
Space group F-43m (No. 216)
Unique sites:
Pa  0.0000  0.0000  0.0000 [4 per cell]  4 Fe 2.92, 4 Pt 2.92
In  0.0000  0.0000  0.5000 [4 per cell]  4 Pt 2.92, 4 Fe 2.92
Fe  0.2500  0.2500  0.2500 [4 per cell]  4 In 2.92, 4 Pa 2.92
Pt  0.2500  0.2500  0.7500 [4 per cell]  4 In 2.92, 4 Pa 2.92



[12]
DFT (PBE-GGA) results for a geometry-optimized PaInFeS4 structure.

Summary:
The size of the total moment comes out at 3.53 μB per formula unit. As for the uncorrected formation energy: -0.882 eV per atom. The crystal system is monoclinic. The value obtained for the total energy is -6.197 eV per atom.

a = 6.4070 Å, b = 6.0324 Å, c = 8.8487 Å
α = 90.00°, β = 107.88°, γ = 90.00°
Closest atoms and distances in Å follow each position.
Space group P2_1/m (No. 11)
Unique sites:
Pa  0.2489  0.2500  0.4426 [2 per cell]  6 S 2.65-2.79
In  0.2175  0.2500  0.9365 [2 per cell]  4 S 3.03-3.21
Fe  0.2652  0.7500  0.6673 [2 per cell]  4 S 2.21-2.26
S  0.0612  0.7500  0.4091 [2 per cell]  1 Fe 2.26
S  0.0637  0.7500  0.8354 [2 per cell]  1 Fe 2.25
S  0.4852  0.5137  0.2989 [4 per cell]  1 Fe 2.21